5
Lattice="4.633 0.000 0.000 0.000 4.633 0.000 0.000 0.000 4.633" Properties=species:S:1:pos:R:3 comment="SrNiRu3 PBE optimized geometry" mass_density_g_cm3=7.508 ef_ev_per_atom=1.042 e_above_lowest_polymorph_mev_per_atom=0 pbc="T T T"
Sr 0.000 0.000 0.000
Ni 2.316 2.316 2.316
Ru 0.000 2.316 2.316
Ru 2.316 0.000 2.316
Ru 2.316 2.316 0.000